A plane-wave DFT calculation with PBE-GGA was carried out for a geometry-optimized Ac4MgSn8 structure.

SG = Pmm2
Formation enthalpy at 0 K = -0.5587 eV per atom

abc: 4.5963 4.7684 18.8227
angles: 90.00 90.00 90.00
Fractional coordinates of all 13 atoms:
Ac (0.0000, 0.0000, 0.0000)
Ac (0.0000, 0.5000, 0.4844)
Ac (0.5000, 0.0000, 0.7898)
Ac (0.5000, 0.5000, 0.2809)
Mg (0.0000, 0.5000, 0.7124)
Sn (0.0000, 0.0000, 0.3290)
Sn (0.0000, 0.0000, 0.6242)
Sn (0.0000, 0.5000, 0.1365)
Sn (0.0000, 0.5000, 0.8589)
Sn (0.5000, 0.0000, 0.1443)
Sn (0.5000, 0.0000, 0.4313)
Sn (0.5000, 0.5000, 0.6229)
Sn (0.5000, 0.5000, 0.9592)

A plane-wave DFT calculation with PBE-GGA was carried out for a geometry-optimized Pr2Sm3P4 structure.

SG = C2/m
Formation enthalpy at 0 K = -1.3820 eV per atom

abc: 7.1136 7.1136 10.0967
angles: 117.81 117.81 33.58
Fractional coordinates of all 9 atoms:
Pr (0.1025, 0.1025, 0.3931)
Pr (0.8975, 0.8975, 0.6069)
Sm (0.2951, 0.2951, 0.1891)
Sm (0.5000, 0.5000, 0.0000)
Sm (0.7049, 0.7049, 0.8109)
P (0.1012, 0.1012, 0.9006)
P (0.2982, 0.2982, 0.7001)
P (0.7018, 0.7018, 0.2999)
P (0.8988, 0.8988, 0.0994)

A plane-wave DFT calculation with PBE-GGA was carried out for a geometry-optimized FeSn3Pt12 structure.

SG = P4/mmm
Formation enthalpy at 0 K = -0.3457 eV per atom

abc: 4.0257 4.0257 16.1190
angles: 90.00 90.00 90.00
Fractional coordinates of all 16 atoms:
Fe (0.0000, 0.0000, 0.0000)
Sn (0.0000, 0.0000, 0.2435)
Sn (0.0000, 0.0000, 0.5000)
Sn (0.0000, 0.0000, 0.7565)
Pt (0.0000, 0.5000, 0.1165)
Pt (0.0000, 0.5000, 0.3727)
Pt (0.0000, 0.5000, 0.6273)
Pt (0.0000, 0.5000, 0.8835)
Pt (0.5000, 0.0000, 0.1165)
Pt (0.5000, 0.0000, 0.3727)
Pt (0.5000, 0.0000, 0.6273)
Pt (0.5000, 0.0000, 0.8835)
Pt (0.5000, 0.5000, 0.0000)
Pt (0.5000, 0.5000, 0.2461)
Pt (0.5000, 0.5000, 0.5000)
Pt (0.5000, 0.5000, 0.7539)

A plane-wave DFT calculation with PBE-GGA was carried out for a geometry-optimized TaCoTe2 structure.

SG = I-4m2
Energy relative to the elements, uncorrected = 0.57 eV per atom

abc: 5.6498 5.6498 5.6498
angles: 138.73 138.73 59.78
Fractional coordinates of all 4 atoms:
Ta (0.0000, 0.0000, 0.0000)
Co (0.7500, 0.2500, 0.5000)
Te (0.2500, 0.7500, 0.5000)
Te (0.5000, 0.5000, 0.0000)

The calculation returns the following ρ values, one per record and in order: 7.58 5.77 17.50 10.59 g/cm³.